The following is a PBE calculation of Tb2DyTmN4 after structural relaxation, from Alexandria via LeMat-Bulk.

```
Tb2DyTmN4
1.0
6.007 0.000 0.000
0.000 3.469 0.000
-2.000 0.000 5.664
Tb Dy Tm N
2 1 1 4
direct
0.000 0.000 0.000
0.500 0.500 0.000
0.000 0.500 0.500
0.500 0.000 0.500
0.251 0.000 0.747
0.253 0.500 0.254
0.747 0.500 0.746
0.749 0.000 0.253
```

Formation energy (no corrections) (eV per atom): -1.710
SG: P2/m, No. 10
Electronic total energy (eV for the cell shown): -65.32

=====

The following is a PBE calculation of MgB3F12 after structural relaxation, from Alexandria via LeMat-Bulk.

```
MgB3F12
1.0
10.301 0.000 0.000
-5.150 8.921 0.000
0.000 0.000 4.933
Mg B F
2 6 24
direct
0.333 0.667 0.250
0.667 0.333 0.750
0.123 0.706 0.750
0.294 0.417 0.750
0.417 0.123 0.250
0.583 0.877 0.750
0.706 0.583 0.250
0.877 0.294 0.250
0.033 0.383 0.250
0.144 0.307 0.750
0.163 0.856 0.750
0.183 0.671 0.515
0.183 0.671 0.985
0.307 0.163 0.250
0.329 0.511 0.515
0.329 0.511 0.985
0.351 0.967 0.250
0.383 0.351 0.750
0.489 0.817 0.515
0.489 0.817 0.985
0.511 0.183 0.015
0.511 0.183 0.485
0.617 0.649 0.250
0.649 0.033 0.750
0.671 0.489 0.015
0.671 0.489 0.485
0.693 0.837 0.750
0.817 0.329 0.015
0.817 0.329 0.485
0.837 0.144 0.250
0.856 0.693 0.250
0.967 0.617 0.750
```

Formation energy (no corrections) (eV per atom): -2.742
SG: P6_3/m, No. 176
Electronic total energy (eV for the cell shown): -175.90